(1)
Mn2CoHg | GGA-PBEsol | optimized geometry

**DFT formation energy**: 0.338 eV/atom

The structure in CIF format:
```
data_Mn2CoHg
_chemical_formula_sum 'Mn2 Co1 Hg1'
_cell_length_a 2.914
_cell_length_b 2.914
_cell_length_c 6.318
_cell_angle_alpha 90.00
_cell_angle_beta 90.00
_cell_angle_gamma 90.00
_space_group_name_H-M_alt 'P 4 m m'
_space_group_IT_number 99
_space_group_name_Hall 'P 4 -2'
loop_
_atom_site_label
_atom_site_fract_x
_atom_site_fract_y
_atom_site_fract_z
_atom_site_occupancy
Mn1 0.000 0.000 0.000 1
Mn2 0.500 0.500 0.226 1
Co1 0.000 0.000 0.412 1
Hg1 0.500 0.500 0.701 1
```

---

(2)
TlAsSe2F | GGA-PBEsol | optimized geometry

**Polymorph energy (0 for the lowest one)**: 755 meV per atom
**Formation energy without anion corrections**: 843 meV/atom

The structure in CIF format:
```
data_TlAsSe2F
_chemical_formula_sum 'Tl1 As1 Se2 F1'
_cell_length_a 5.237
_cell_length_b 5.237
_cell_length_c 5.389
_cell_angle_alpha 90.00
_cell_angle_beta 90.00
_cell_angle_gamma 90.00
_space_group_name_H-M_alt 'P 4/m m m'
_space_group_IT_number 123
_space_group_name_Hall '-P 4 2'
loop_
_atom_site_label
_atom_site_fract_x
_atom_site_fract_y
_atom_site_fract_z
_atom_site_occupancy
Tl1 0.000 0.000 0.000 1
As1 0.000 0.000 0.500 1
Se1 0.000 0.500 0.000 1
F1 0.500 0.500 0.500 1
```

---

(3)
RbSb2TeF | GGA-PBEsol | optimized geometry

**Formation energy without anion corrections**: 1255 meV/atom

The structure in CIF format:
```
data_RbSb2TeF
_chemical_formula_sum 'Rb1 Sb2 Te1 F1'
_cell_length_a 7.412
_cell_length_b 7.412
_cell_length_c 7.087
_cell_angle_alpha 90.00
_cell_angle_beta 90.00
_cell_angle_gamma 90.00
_space_group_name_H-M_alt 'P 4/m m m'
_space_group_IT_number 123
_space_group_name_Hall '-P 4 2'
loop_
_atom_site_label
_atom_site_fract_x
_atom_site_fract_y
_atom_site_fract_z
_atom_site_occupancy
Rb1 0.000 0.000 0.000 1
Sb1 0.000 0.500 0.000 1
Te1 0.000 0.000 0.500 1
F1 0.500 0.500 0.500 1
```

---

(4)
Na2SnRuW | GGA-PBEsol | optimized geometry

**DFT formation energy**: 1.569 eV/atom

The structure in CIF format:
```
data_Na2SnRuW
_chemical_formula_sum 'Na2 Sn1 Ru1 W1'
_cell_length_a 5.529
_cell_length_b 5.529
_cell_length_c 4.452
_cell_angle_alpha 90.00
_cell_angle_beta 90.00
_cell_angle_gamma 90.00
_space_group_name_H-M_alt 'P 4/m m m'
_space_group_IT_number 123
_space_group_name_Hall '-P 4 2'
loop_
_atom_site_label
_atom_site_fract_x
_atom_site_fract_y
_atom_site_fract_z
_atom_site_occupancy
Na1 0.000 0.500 0.000 1
Sn1 0.000 0.000 0.500 1
Ru1 0.500 0.500 0.500 1
W1 0.500 0.500 0.000 1
```

---

(5)
NbAs2Pb | GGA-PBEsol | optimized geometry

**DFT formation energy**: 0.210 eV/atom

The structure in CIF format:
```
data_NbAs2Pb
_chemical_formula_sum 'Nb4 As8 Pb4'
_cell_length_a 6.134
_cell_length_b 6.134
_cell_length_c 12.442
_cell_angle_alpha 90.00
_cell_angle_beta 90.00
_cell_angle_gamma 90.00
_space_group_name_H-M_alt 'I -4 2 d'
_space_group_IT_number 122
_space_group_name_Hall 'I -4 2bw'
loop_
_atom_site_label
_atom_site_fract_x
_atom_site_fract_y
_atom_site_fract_z
_atom_site_occupancy
Nb1 0.000 0.000 0.000 1
As1 0.192 0.250 0.125 1
Pb1 0.000 0.000 0.500 1
```

---

(6)
Al2CoPb | GGA-PBEsol | optimized geometry

**DFT formation energy**: 0.234 eV/atom

The structure in CIF format:
```
data_Al2CoPb
_chemical_formula_sum 'Al2 Co1 Pb1'
_cell_length_a 3.516
_cell_length_b 4.178
_cell_length_c 5.141
_cell_angle_alpha 90.00
_cell_angle_beta 109.71
_cell_angle_gamma 90.00
_space_group_name_H-M_alt 'P 1 2/m 1'
_space_group_IT_number 10
_space_group_name_Hall '-P 2y'
loop_
_atom_site_label
_atom_site_fract_x
_atom_site_fract_y
_atom_site_fract_z
_atom_site_occupancy
Al1 0.161 0.000 0.288 1
Co1 0.500 0.500 0.500 1
Pb1 0.500 0.500 0.000 1
```